The following is a PBE-GGA calculation of a relaxed Cs3Ac3SnS8 crystal, from Alexandria.

Space-group type   No. 166
Energy relative to the elements, uncorrected   -1.53 eV/atom
Magnetic moment   0.000 μB/cell
E_tot   -74.93 eV per cell

a = 9.675 Å, b = 9.675 Å, c = 9.675 Å
α = 53.25°, β = 53.25°, γ = 53.25°
Positions (direct):
1 Cs 0.000 0.500 0.500
2 Cs 0.500 0.000 0.500
3 Cs 0.500 0.500 0.000
4 Ac 0.000 0.000 0.500
5 Ac 0.000 0.500 0.000
6 Ac 0.500 0.000 0.000
7 Sn 0.500 0.500 0.500
8 S 0.231 0.231 0.231
9 S 0.262 0.708 0.708
10 S 0.292 0.292 0.738
11 S 0.292 0.738 0.292
12 S 0.708 0.262 0.708
13 S 0.708 0.708 0.262
14 S 0.738 0.292 0.292
15 S 0.769 0.769 0.769